# 1
# CoAgO3 | the Open Quantum Materials Database | PBE+U | optimized geometry
# total energy = -4.57 eV/atom
# calculated volume = 51.7 Å³/cell
data_CoAgO3
_chemical_formula_sum 'Co1 Ag1 O3'
_symmetry_space_group_name_H-M 'P 4 m m'
_symmetry_Int_Tables_number 99
_cell_length_a 3.664
_cell_length_b 3.664
_cell_length_c 3.848
_cell_angle_alpha 90.00
_cell_angle_beta 90.00
_cell_angle_gamma 90.00
loop_
_symmetry_equiv_pos_as_xyz
'x,y,z'
'-y,x,z'
'-x,-y,z'
'y,-x,z'
'-x,y,z'
'y,x,z'
'x,-y,z'
'-y,-x,z'
loop_
_atom_site_label
_atom_site_type_symbol
_atom_site_fract_x
_atom_site_fract_y
_atom_site_fract_z
_atom_site_occupancy
Co1 Co 0.000 0.000 0.000 1
Ag1 Ag 0.500 0.500 0.499 1
O1 O 0.000 0.000 0.501 1
O2 O 0.000 0.500 0.003 1

---

# 2
# CoAgO3 | the Open Quantum Materials Database | PBE+U | optimized geometry
# total energy = -4.92 eV/atom
# calculated volume = 322.8 Å³/cell
data_CoAgO3
_chemical_formula_sum 'Co6 Ag6 O18'
_symmetry_space_group_name_H-M 'R -3'
_symmetry_Int_Tables_number 148
_symmetry_space_group_name_Hall '-R 3'
_cell_length_a 5.0314
_cell_length_b 5.0314
_cell_length_c 14.7217
_cell_angle_alpha 90.00
_cell_angle_beta 90.00
_cell_angle_gamma 120.00
loop_
_atom_site_label
_atom_site_type_symbol
_atom_site_fract_x
_atom_site_fract_y
_atom_site_fract_z
_atom_site_occupancy
Co1 Co 0.0000 0.0000 0.1610 1
Ag1 Ag 0.0000 0.0000 0.3600 1
O1 O 0.0081 0.3821 0.4309 1